DFT (GGA-PBE) results for Fe2BP after structural relaxation.

Results
energy relative to the lowest polymorph listed for this composition = 0 kJ/mol of formula units
E_tot = -7.51 eV/atom
size of the total moment = 1.44 μB/f.u.

Cell: 4.124 2.848 6.535 Å, 90.00 99.56 90.00°
Space group P2_1/m (No. 11)
Inequivalent atoms, fractional coordinates:
Fe 0.169 0.250 0.137 [2 per cell]
Fe 0.311 0.250 0.721 [2 per cell]
B 0.370 0.750 0.967 [2 per cell]
P 0.229 0.750 0.428 [2 per cell]

DFT (GGA-PBE) results for InFeTcMo after structural relaxation.

Results
energy relative to the lowest polymorph listed for this composition = 0 kJ/mol of formula units
E_tot = -7.81 eV/atom
size of the total moment = 0.02 μB/f.u.

Cell: 6.226 6.226 6.226 Å, 90.00 90.00 90.00°
Space group F-43m (No. 216)
Inequivalent atoms, fractional coordinates:
In 0.000 0.000 0.000 [4 per cell]
Fe 0.250 0.250 0.250 [4 per cell]
Tc 0.250 0.250 0.750 [4 per cell]
Mo 0.000 0.000 0.500 [4 per cell]

DFT (GGA-PBE) results for NaSrLuSe3 after structural relaxation.

Results
energy relative to the lowest polymorph listed for this composition = 69 kJ/mol of formula units
E_tot = -4.61 eV/atom
size of the total moment = 0.00 μB/f.u.

Cell: 14.024 4.226 10.739 Å, 90.00 90.00 90.00°
Space group Pnma (No. 62)
Inequivalent atoms, fractional coordinates:
Na 0.002 0.250 0.090 [4 per cell]
Sr 0.238 0.750 0.033 [4 per cell]
Lu 0.017 0.750 0.336 [4 per cell]
Se 0.101 0.750 0.571 [4 per cell]
Se 0.118 0.250 0.870 [4 per cell]
Se 0.143 0.250 0.261 [4 per cell]

DFT (GGA-PBE) results for Pm3PbSe2 after structural relaxation.

Results
E_tot = -5.57 eV/atom
size of the total moment = 0.01 μB/f.u.

Cell: 7.484 12.952 7.486 Å, 90.00 109.48 90.00°
Space group C2/c (No. 15)
Inequivalent atoms, fractional coordinates:
Pm 0.236 0.088 0.496 [8 per cell]
Pm 0.250 0.250 0.000 [4 per cell]
Pb 0.000 0.420 0.750 [4 per cell]
Se 0.000 0.084 0.750 [4 per cell]
Se 0.000 0.254 0.250 [4 per cell]

DFT (GGA-PBE) results for RbYRe after structural relaxation.

Results
energy relative to the lowest polymorph listed for this composition = 0 kJ/mol of formula units
E_tot = -4.87 eV/atom
size of the total moment = 1.08 μB/f.u.

Cell: 7.183 7.183 7.183 Å, 90.00 90.00 90.00°
Space group F-43m (No. 216)
Inequivalent atoms, fractional coordinates:
Rb 0.000 0.000 0.000 [4 per cell]
Y 0.000 0.000 0.500 [4 per cell]
Re 0.250 0.250 0.250 [4 per cell]

DFT (GGA-PBE) results for HoEr3Ge2C2 after structural relaxation.

Results
E_tot = -6.25 eV/atom
size of the total moment = 0.02 μB/f.u.

Cell: 3.5571 3.5571 14.8491 Å, 90.00 90.00 120.00°
Space group P3m1 (No. 156)
Inequivalent atoms, fractional coordinates:
Ho 0.0000 0.0000 0.0000 [1 per cell]
Er 0.0000 0.0000 0.3197 [1 per cell]
Er 0.3333 0.6667 0.4998 [1 per cell]
Er 0.3333 0.6667 0.8190 [1 per cell]
Ge 0.0000 0.0000 0.6595 [1 per cell]
Ge 0.3333 0.6667 0.1603 [1 per cell]
C 0.6667 0.3333 0.4098 [1 per cell]
C 0.6667 0.3333 0.9091 [1 per cell]

DFT (GGA-PBE) results for NaIr3Se5 after structural relaxation.

Results
E_tot = -5.12 eV/atom
size of the total moment = 0.10 μB/f.u.

Cell: 5.8735 5.8735 7.0160 Å, 90.00 90.00 120.00°
Space group P6/mmm (No. 191)
Inequivalent atoms, fractional coordinates:
Na 0.0000 0.0000 0.0000 [1 per cell]
Ir 0.0000 0.5000 0.5000 [3 per cell]
Se 0.0000 0.0000 0.5000 [1 per cell]
Se 0.3333 0.6667 0.2403 [4 per cell]

DFT (GGA-PBE) results for Al3GaAu2 after structural relaxation.

Results
E_tot = -3.83 eV/atom

Cell: 4.302 4.302 6.072 Å, 90.00 90.00 90.00°
Space group P-4m2 (No. 115)
Inequivalent atoms, fractional coordinates:
Al 0.000 0.000 0.000 [1 per cell]
Al 0.000 0.000 0.500 [1 per cell]
Al 0.500 0.500 0.000 [1 per cell]
Ga 0.500 0.500 0.500 [1 per cell]
Au 0.000 0.500 0.244 [2 per cell]

DFT (GGA-PBE) results for NaMo2Br6N2 after structural relaxation.

Results
E_tot = -4.97 eV/atom
size of the total moment = 1.00 μB/f.u.

Cell: 3.738 10.829 13.441 Å, 90.00 90.00 90.00°
Space group Immm (No. 71)
Inequivalent atoms, fractional coordinates:
Na 0.000 0.000 0.000 [2 per cell]
Mo 0.000 0.160 0.500 [4 per cell]
Br 0.000 0.000 0.349 [4 per cell]
Br 0.000 0.329 0.371 [8 per cell]
N 0.000 0.367 0.000 [4 per cell]

DFT (GGA-PBE) results for Ba2CdSe3 after structural relaxation.

Results
E_tot = -4.11 eV/atom

Cell: 9.356 4.543 18.106 Å, 90.00 90.00 90.00°
Space group Pnma (No. 62)
Inequivalent atoms, fractional coordinates:
Ba 0.077 0.250 0.215 [4 per cell]
Ba 0.240 0.250 0.959 [4 per cell]
Cd 0.124 0.250 0.633 [4 per cell]
Se 0.015 0.250 0.404 [4 per cell]
Se 0.117 0.750 0.072 [4 per cell]
Se 0.187 0.250 0.777 [4 per cell]

DFT (GGA-PBE) results for TeWSe2SBr after structural relaxation.

Results
energy relative to the lowest polymorph listed for this composition = 45 kJ/mol of formula units
E_tot = -5.08 eV/atom
size of the total moment = 0.00 μB/f.u.

Cell: 6.525 8.196 8.349 Å, 113.09 96.83 113.35°
Space group P-1 (No. 2)
Inequivalent atoms, fractional coordinates:
Te 0.036 0.492 0.259 [2 per cell]
W 0.281 0.500 0.000 [2 per cell]
Se 0.174 0.791 0.189 [2 per cell]
Se 0.386 0.358 0.706 [2 per cell]
S 0.410 0.295 0.085 [2 per cell]
Br 0.169 0.907 0.762 [2 per cell]

DFT (GGA-PBE) results for LiNbReAs after structural relaxation.

Results
energy relative to the lowest polymorph listed for this composition = 0 kJ/mol of formula units
E_tot = -7.41 eV/atom
size of the total moment = 0.00 μB/f.u.

Cell: 6.175 6.175 6.175 Å, 90.00 90.00 90.00°
Space group F-43m (No. 216)
Inequivalent atoms, fractional coordinates:
Li 0.000 0.000 0.000 [4 per cell]
Nb 0.250 0.250 0.250 [4 per cell]
Re 0.000 0.000 0.500 [4 per cell]
As 0.250 0.250 0.750 [4 per cell]

DFT (GGA-PBE) results for TmPdNO after structural relaxation.

Results
energy relative to the lowest polymorph listed for this composition = 149 kJ/mol of formula units
E_tot = -6.85 eV/atom
size of the total moment = 0.01 μB/f.u.

Cell: 3.901 5.739 4.973 Å, 90.00 90.00 90.00°
Space group Pmc2_1 (No. 26)
Inequivalent atoms, fractional coordinates:
Tm 0.000 0.226 0.000 [2 per cell]
Pd 0.500 0.202 0.527 [2 per cell]
N 0.000 0.173 0.460 [2 per cell]
O 0.500 0.366 0.910 [2 per cell]

DFT (GGA-PBE) results for OsAuSeO after structural relaxation.

Results
energy relative to the lowest polymorph listed for this composition = 0 kJ/mol of formula units
E_tot = -5.81 eV/atom
size of the total moment = 0.00 μB/f.u.

Cell: 6.823 7.022 5.597 Å, 90.00 94.45 90.00°
Space group P2_1/c (No. 14)
Inequivalent atoms, fractional coordinates:
Os 0.038 0.080 0.237 [4 per cell]
Au 0.426 0.175 0.442 [4 per cell]
Se 0.275 0.522 0.471 [4 per cell]
O 0.002 0.161 0.584 [4 per cell]

DFT (GGA-PBE) results for GdHgSO after structural relaxation.

Results
energy relative to the lowest polymorph listed for this composition = 112 kJ/mol of formula units
E_tot = -5.05 eV/atom
size of the total moment = 0.00 μB/f.u.

Cell: 6.979 7.104 13.334 Å, 90.00 90.00 90.00°
Space group Pbca (No. 61)
Inequivalent atoms, fractional coordinates:
Gd 0.107 0.009 0.232 [8 per cell]
Hg 0.052 0.221 0.542 [8 per cell]
S 0.219 0.013 0.920 [8 per cell]
O 0.135 0.688 0.214 [8 per cell]

DFT (GGA-PBE) results for GaNi10 after structural relaxation.

Results
E_tot = -5.31 eV/atom
size of the total moment = 4.94 μB/f.u.

Cell: 7.782 3.492 29.432 Å, 90.00 90.04 90.00°
Space group C2/m (No. 12)
Inequivalent atoms, fractional coordinates:
Ga 0.153 0.000 0.219 [4 per cell]
Ni 0.048 0.500 0.271 [4 per cell]
Ni 0.050 0.000 0.407 [4 per cell]
Ni 0.050 0.500 0.540 [4 per cell]
Ni 0.052 0.000 0.673 [4 per cell]
Ni 0.148 0.500 0.353 [4 per cell]
Ni 0.150 0.000 0.487 [4 per cell]
Ni 0.150 0.000 0.755 [4 per cell]
Ni 0.150 0.500 0.620 [4 per cell]
Ni 0.249 0.500 0.433 [4 per cell]
Ni 0.250 0.000 0.300 [4 per cell]

DFT (GGA-PBE) results for ZrCd2Tc after structural relaxation.

Results
E_tot = -4.99 eV/atom
E_form = 188 meV/atom
size of the total moment = 0.00 μB/f.u.

Cell: 6.727 6.727 6.727 Å, 90.00 90.00 90.00°
Space group F-43m (No. 216)
Inequivalent atoms, fractional coordinates:
Zr 0.000 0.000 0.000 [4 per cell]
Cd 0.000 0.000 0.500 [4 per cell]
Cd 0.250 0.250 0.750 [4 per cell]
Tc 0.250 0.250 0.250 [4 per cell]

DFT (GGA-PBE) results for Pm3AlAg2 after structural relaxation.

Results
E_tot = -4.26 eV/atom
size of the total moment = 0.37 μB/f.u.

Cell: 3.687 3.687 11.252 Å, 90.00 90.00 90.00°
Space group P4/mmm (No. 123)
Inequivalent atoms, fractional coordinates:
Pm 0.000 0.000 0.000 [1 per cell]
Pm 0.000 0.000 0.337 [2 per cell]
Al 0.500 0.500 0.500 [1 per cell]
Ag 0.500 0.500 0.170 [2 per cell]

DFT (GGA-PBE) results for NbFeAg after structural relaxation.

Results
energy relative to the lowest polymorph listed for this composition = 102 kJ/mol of formula units
E_tot = -6.05 eV/atom
E_form = 1022 meV/atom
size of the total moment = 0.00 μB/f.u.

Cell: 6.038 6.038 6.038 Å, 90.00 90.00 90.00°
Space group F-43m (No. 216)
Inequivalent atoms, fractional coordinates:
Nb 0.000 0.000 0.000 [4 per cell]
Fe 0.250 0.250 0.250 [4 per cell]
Ag 0.250 0.250 0.750 [4 per cell]

DFT (GGA-PBE) results for Li4Al2GaIr after structural relaxation.

Results
E_tot = -3.77 eV/atom
size of the total moment = 0.01 μB/f.u.

Cell: 4.299 4.299 6.149 Å, 90.00 90.00 90.00°
Space group P-4m2 (No. 115)
Inequivalent atoms, fractional coordinates:
Li 0.000 0.000 0.000 [1 per cell]
Li 0.000 0.500 0.749 [2 per cell]
Li 0.500 0.500 0.500 [1 per cell]
Al 0.000 0.500 0.276 [2 per cell]
Ga 0.500 0.500 0.000 [1 per cell]
Ir 0.000 0.000 0.500 [1 per cell]